## PmPa2N3 (GGA-PBE)

Data for a relaxed PmPa2N3 crystal.

The total energy is -9.702 eV per atom. The calculation puts the uncorrected formation energy at -1.582 eV per atom. The value obtained for the size of the total moment is 0.00 μB per formula unit. The value obtained for the energy above the lowest structure with this stoichiometry is 0 meV/atom.

Lattice parameters (Å, degrees): 3.522 5.024 6.103 114.30 106.77 90.00
Fractional positions:
Pm (0.500, 0.500, 0.500)
Pa (0.836, 0.836, 0.171)
Pa (0.164, 0.164, 0.829)
N (0.820, 0.320, 0.139)
N (0.180, 0.680, 0.861)
N (0.500, 0.000, 0.500)